Record 1
Rb8Sb2O: optimized geometry, PBE-GGA.

Cell and atoms, written as CIF:
```
data_Rb8Sb2O
_space_group_name_H-M_alt 'C 1 2/m 1'
_space_group_IT_number 12
_cell_length_a 21.262
_cell_length_b 6.271
_cell_length_c 7.656
_cell_angle_alpha 90.00
_cell_angle_beta 110.95
_cell_angle_gamma 90.00
loop_
_space_group_symop_operation_xyz
'x,y,z'
'-x,-y,-z'
'-x,y,-z'
'x,-y,z'
'x+1/2,y+1/2,z'
'-x+1/2,-y+1/2,-z'
'-x+1/2,y+1/2,-z'
'x+1/2,-y+1/2,z'
loop_
_atom_site_label
_atom_site_fract_x
_atom_site_fract_y
_atom_site_fract_z
Rb1 0.004 0.000 0.237
Rb2 0.094 0.500 0.828
Rb3 0.122 0.500 0.326
Rb4 0.229 0.000 0.204
Sb1 0.157 0.000 0.652
O1 0.000 0.500 0.000
```

* crystal system: monoclinic
* electronic total energy: -2.36 eV/atom
* N(E_F): 9.7 states/eV/f.u.

---

Record 2
RbSb2O3: optimized geometry, PBE-GGA.

Cell and atoms, written as CIF:
```
data_RbSb2O3
_space_group_name_H-M_alt 'C m m m'
_space_group_IT_number 65
_space_group_name_Hall '-C 2 2'
_cell_length_a 4.499
_cell_length_b 13.779
_cell_length_c 3.470
_cell_angle_alpha 90.00
_cell_angle_beta 90.00
_cell_angle_gamma 90.00
loop_
_atom_site_label
_atom_site_fract_x
_atom_site_fract_y
_atom_site_fract_z
Rb1 0.000 0.000 0.000
Sb1 0.000 0.342 0.500
O1 0.000 0.181 0.500
O2 0.000 0.500 0.500
```

* crystal system: orthorhombic
* electronic total energy: -5.06 eV/atom
* N(E_F): 1.1 states/eV/f.u.

---

Record 3
Rb3SbO3: optimized geometry, PBE-GGA.

Cell and atoms, written as CIF:
```
data_Rb3SbO3
_space_group_name_H-M_alt 'C m c m'
_space_group_IT_number 63
_space_group_name_Hall '-C 2c 2'
_cell_length_a 8.838
_cell_length_b 15.286
_cell_length_c 5.978
_cell_angle_alpha 90.00
_cell_angle_beta 90.00
_cell_angle_gamma 90.00
loop_
_atom_site_label
_atom_site_fract_x
_atom_site_fract_y
_atom_site_fract_z
Rb1 0.000 0.171 0.250
Rb2 0.242 0.414 0.250
Sb1 0.000 0.333 0.750
O1 0.000 0.201 0.750
O2 0.198 0.399 0.750
```

* crystal system: orthorhombic
* electronic total energy: -4.31 eV/atom
* N(E_F): 3.6 states/eV/f.u.

---

Record 4
Rb2Sb2O3: optimized geometry, PBE-GGA.

Cell and atoms, written as CIF:
```
data_Rb2Sb2O3
_space_group_name_H-M_alt 'I 21 3'
_space_group_IT_number 199
_space_group_name_Hall 'I 2b 2c 3'
_cell_length_a 8.655
_cell_length_b 8.655
_cell_length_c 8.655
_cell_angle_alpha 90.00
_cell_angle_beta 90.00
_cell_angle_gamma 90.00
loop_
_atom_site_label
_atom_site_fract_x
_atom_site_fract_y
_atom_site_fract_z
Rb1 0.249 0.249 0.249
Sb1 0.008 0.008 0.008
O1 0.000 0.250 0.995
```

* crystal system: cubic
* electronic total energy: -4.64 eV/atom
* N(E_F): 4.4 states/eV/f.u.